VASP calculation (PBE) on a relaxed structure of ReSi2Mo2.

```
data_ReSi2Mo2
_space_group_name_H-M_alt 'P 4/m b m'
_space_group_IT_number 127
_space_group_name_Hall '-P 4 2ab'
_cell_length_a 6.580
_cell_length_b 6.580
_cell_length_c 3.278
_cell_angle_alpha 90.00
_cell_angle_beta 90.00
_cell_angle_gamma 90.00
loop_
_atom_site_label
_atom_site_type_symbol
_atom_site_fract_x
_atom_site_fract_y
_atom_site_fract_z
_atom_site_occupancy
Re1 Re 0.000 0.000 0.000 1
Si1 Si 0.134 0.366 0.000 1
Mo1 Mo 0.162 0.662 0.500 1
```

Values from the calculation:
Density ... 10.16 g/cm³
Formation energy (no corrections) ... -4.40 kcal/mol of atoms
Fermi-level density of states ... 0.47 states/eV per atom
Volume ... 71 Å³/f.u.

VASP calculation (PBE) on a relaxed structure of Re2SiMo.

```
data_Re2SiMo
_space_group_name_H-M_alt 'I m m 2'
_space_group_IT_number 44
_cell_length_a 3.091
_cell_length_b 4.244
_cell_length_c 8.760
_cell_angle_alpha 90.00
_cell_angle_beta 90.00
_cell_angle_gamma 90.00
loop_
_space_group_symop_operation_xyz
'x,y,z'
'-x,-y,z'
'-x,y,z'
'x,-y,z'
'x+1/2,y+1/2,z+1/2'
'-x+1/2,-y+1/2,z+1/2'
'-x+1/2,y+1/2,z+1/2'
'x+1/2,-y+1/2,z+1/2'
loop_
_atom_site_label
_atom_site_type_symbol
_atom_site_fract_x
_atom_site_fract_y
_atom_site_fract_z
_atom_site_occupancy
Re1 Re 0.000 0.000 0.000 1
Re2 Re 0.000 0.500 0.241 1
Si1 Si 0.000 0.500 0.736 1
Mo1 Mo 0.000 0.000 0.480 1
```

Values from the calculation:
Density ... 14.35 g/cm³
Formation energy (no corrections) ... -2.53 kcal/mol of atoms
Fermi-level density of states ... 0.47 states/eV per atom
Volume ... 57 Å³/f.u.

VASP calculation (PBE) on a relaxed structure of ReSiMo2.

```
data_ReSiMo2
_space_group_name_H-M_alt 'F -4 3 m'
_space_group_IT_number 216
_space_group_name_Hall 'F -4 2 3'
_cell_length_a 6.169
_cell_length_b 6.169
_cell_length_c 6.169
_cell_angle_alpha 90.00
_cell_angle_beta 90.00
_cell_angle_gamma 90.00
loop_
_atom_site_label
_atom_site_type_symbol
_atom_site_fract_x
_atom_site_fract_y
_atom_site_fract_z
_atom_site_occupancy
Re1 Re 0.000 0.000 0.000 1
Si1 Si 0.250 0.250 0.250 1
Mo1 Mo 0.000 0.000 0.500 1
Mo2 Mo 0.250 0.250 0.750 1
```

Values from the calculation:
Density ... 11.49 g/cm³
Formation energy (no corrections) ... -0.86 kcal/mol of atoms
Fermi-level density of states ... 0.56 states/eV per atom
Volume ... 59 Å³/f.u.

VASP calculation (PBE) on a relaxed structure of ReSi4Mo2.

```
data_ReSi4Mo2
_space_group_name_H-M_alt 'I 4/m m m'
_space_group_IT_number 139
_space_group_name_Hall '-I 4 2'
_cell_length_a 4.579
_cell_length_b 4.579
_cell_length_c 12.340
_cell_angle_alpha 90.00
_cell_angle_beta 90.00
_cell_angle_gamma 90.00
loop_
_atom_site_label
_atom_site_type_symbol
_atom_site_fract_x
_atom_site_fract_y
_atom_site_fract_z
_atom_site_occupancy
Re1 Re 0.000 0.000 0.000 1
Si1 Si 0.000 0.000 0.200 1
Si2 Si 0.000 0.500 0.000 1
Mo1 Mo 0.000 0.000 0.398 1
```

Values from the calculation:
Density ... 6.29 g/cm³
Formation energy (no corrections) ... 16.28 kcal/mol of atoms
Fermi-level density of states ... 0.88 states/eV per atom
Volume ... 129 Å³/f.u.